Compound: DyIn2FeO6
Source: Alexandria via LeMat-Bulk
Functional: PBE with a Hubbard U
Structure: relaxed

It has space group R3 (No. 146, hexagonal axes), with a = 5.5201 Å, b = 5.5201 Å, c = 14.7364 Å, α = 90.00°, β = 90.00° and γ = 120.00°. The asymmetric unit holds Dy at (0.0000, 0.0000, 0.0000), In at (0.0000, 0.0000, 0.2149), In at (0.0000, 0.0000, 0.7208), Fe at (0.0000, 0.0000, 0.5096), O at (0.0110, 0.3669, 0.7787) and O at (0.0524, 0.6735, 0.2727).

The value obtained for the total energy is -6.54 eV per atom. The calculation puts the magnetization at 5.0 μB per formula unit. As for the volume: 389 Å³/cell.